(1)
Below is TlSnHgAs after structural relaxation, with properties calculated at the PBE level.

```
TlSnHgAs
1.0
7.5077 0.0000 0.0000
0.0000 7.5077 0.0000
0.0000 0.0000 7.5077
Tl Sn Hg As
4 4 4 4
direct
0.0000 0.0000 0.0000
0.0000 0.5000 0.5000
0.5000 0.0000 0.5000
0.5000 0.5000 0.0000
0.0000 0.0000 0.5000
0.0000 0.5000 0.0000
0.5000 0.0000 0.0000
0.5000 0.5000 0.5000
0.2500 0.2500 0.2500
0.2500 0.7500 0.7500
0.7500 0.2500 0.7500
0.7500 0.7500 0.2500
0.2500 0.2500 0.7500
0.2500 0.7500 0.2500
0.7500 0.2500 0.2500
0.7500 0.7500 0.7500
```

Results
DFT total energy: -2.695 eV/atom
E above lowest polymorph: 155 meV/atom
DFT formation energy: 13.1 kJ/mol of atoms

=====

(2)
Below is TlSnHgAs after structural relaxation, with properties calculated at the PBE level.

```
TlSnHgAs
1.0
7.0540 0.0000 0.0000
0.0000 4.0741 0.0000
-0.0154 0.0000 8.7943
Tl Sn Hg As
2 2 2 2
direct
0.0000 0.0000 0.0000
0.5000 0.5000 0.0000
0.3321 0.0000 0.5974
0.8321 0.5000 0.5974
0.3338 0.0000 0.2588
0.8338 0.5000 0.2588
0.1659 0.5000 0.7538
0.6659 0.0000 0.7538
```

Results
DFT total energy: -2.849 eV/atom
E above lowest polymorph: 0 meV/atom
DFT formation energy: -1.8 kJ/mol of atoms

=====

(3)
Below is Sr3Hg2As after structural relaxation, with properties calculated at the PBE level.

```
Sr3Hg2As
1.0
5.5434 0.0000 0.0000
0.0000 7.8510 0.0000
-2.7494 0.0000 8.4273
Sr Hg As
6 4 2
direct
0.0000 0.2476 0.0000
0.0000 0.7524 0.0000
0.3290 0.2358 0.6581
0.3290 0.7642 0.6581
0.6710 0.2358 0.3419
0.6710 0.7642 0.3419
0.1664 0.5000 0.3318
0.5000 0.0000 0.0000
0.5000 0.5000 0.0000
0.8336 0.5000 0.6682
0.1563 0.0000 0.3122
0.8437 0.0000 0.6878
```

Results
DFT total energy: -2.450 eV/atom
DFT formation energy: -70.8 kJ/mol of atoms

=====

Question: Which of these has the highest DFT formation energy?
Answer: number 1